1.
FePtBr2 at its PBEsol-relaxed geometry. Source: the Alexandria database, functional SCAN.

The calculation puts the uncorrected energy at -31.073 eV per atom. The calculation puts the theoretical density at 9.600 g/cm3. The value obtained for the density of states at the Fermi level is 4.362 states/eV/cell. Its formation energy without anion corrections is 71.2 kJ/mol of atoms. The calculation puts the energy above the most stable polymorph in this dataset at 3.186 eV per formula unit.

a b c (Å): 4.6490 4.6490 4.6490
angles (deg): 60.00 60.00 60.00
Closest atoms and distances in Å follow each position.
Element x y z (fractional)
Br 0.7500 0.7500 0.7500  4 Pt 2.85, 4 Fe 2.85
Br 0.2500 0.2500 0.2500  4 Fe 2.85, 4 Pt 2.85
Pt 0.5000 0.5000 0.5000  8 Br 2.85
Fe 0.0000 0.0000 0.0000  8 Br 2.85

***

2.
FePtBr2 at its PBEsol-relaxed geometry. Source: the Alexandria database, functional SCAN.

The calculation puts the uncorrected energy at -31.869 eV per atom. The calculation puts the theoretical density at 8.112 g/cm3. The value obtained for the density of states at the Fermi level is 0.597 states/eV/cell. Its formation energy without anion corrections is -5.7 kJ/mol of atoms. The calculation puts the energy above the most stable polymorph in this dataset at 0.000 eV per formula unit.

a b c (Å): 3.3191 3.5068 7.3146
angles (deg): 99.05 90.00 90.00
Closest atoms and distances in Å follow each position.
Element x y z (fractional)
Pt 0.5000 0.2726 0.7037  4 Fe 2.54-2.68, 2 Br 2.66
Fe 0.0000 0.6982 0.5664  3 Br 2.46-2.55, 4 Pt 2.54-2.68
Br 0.5000 0.5905 0.3152  2 Fe 2.46
Br 0.0000 0.9388 0.9147  1 Fe 2.55, 2 Pt 2.66

***

3.
FePtBr2 at its PBEsol-relaxed geometry. Source: the Alexandria database, functional SCAN.

The calculation puts the uncorrected energy at -31.272 eV per atom. The calculation puts the theoretical density at 9.032 g/cm3. The value obtained for the density of states at the Fermi level is 2.050 states/eV/cell. Its formation energy without anion corrections is 52.0 kJ/mol of atoms. The calculation puts the energy above the most stable polymorph in this dataset at 2.390 eV per formula unit.

a b c (Å): 3.0832 3.3540 8.2220
angles (deg): 90.00 90.00 117.36
Closest atoms and distances in Å follow each position.
Element x y z (fractional)
Pt 0.5000 0.0000 0.0000  4 Br 2.70
Br 0.0000 0.0000 0.7304  2 Fe 2.44, 2 Pt 2.70
Fe 0.5000 0.0000 0.5000  4 Br 2.44
Br 0.0000 0.0000 0.2696  2 Fe 2.44, 2 Pt 2.70

***

4.
FePtBr2 at its PBEsol-relaxed geometry. Source: the Alexandria database, functional SCAN.

The calculation puts the uncorrected energy at -31.786 eV per atom. The calculation puts the theoretical density at 7.936 g/cm3. The value obtained for the density of states at the Fermi level is 1.444 states/eV/cell. Its formation energy without anion corrections is 2.4 kJ/mol of atoms. The calculation puts the energy above the most stable polymorph in this dataset at 0.335 eV per formula unit.

a b c (Å): 3.3869 3.3869 8.2749
angles (deg): 90.00 90.00 115.13
Closest atoms and distances in Å follow each position.
Element x y z (fractional)
Br 0.5000 0.5000 0.6759  2 Fe 2.49
Pt 0.5000 0.5000 0.2858  2 Fe 2.37, 2 Br 2.56
Br 0.0000 0.0000 0.0683  2 Pt 2.56
Fe 0.0000 0.0000 0.4701  2 Pt 2.37, 2 Br 2.49

***

5.
FePtBr2 at its PBEsol-relaxed geometry. Source: the Alexandria database, functional SCAN.

The calculation puts the uncorrected energy at -31.132 eV per atom. The calculation puts the theoretical density at 9.800 g/cm3. The value obtained for the density of states at the Fermi level is 2.883 states/eV/cell. Its formation energy without anion corrections is 65.5 kJ/mol of atoms. The calculation puts the energy above the most stable polymorph in this dataset at 2.950 eV per formula unit.

a b c (Å): 3.1564 3.1564 6.9858
angles (deg): 90.00 90.00 90.00
Closest atoms and distances in Å follow each position.
Element x y z (fractional)
Br 0.0000 0.0000 0.2268  4 Fe 2.74, 4 Pt 2.94
Fe 0.5000 0.5000 0.0000  8 Br 2.74
Pt 0.5000 0.5000 0.5000  8 Br 2.94, 4 Pt 3.16
Br 0.0000 0.0000 0.7732  4 Fe 2.74, 4 Pt 2.94

***

6.
SrFePtBr2 at its PBEsol-relaxed geometry. Source: the Alexandria database, functional SCAN.

The calculation puts the uncorrected energy at -30.193 eV per atom. The calculation puts the theoretical density at 6.377 g/cm3. The value obtained for the density of states at the Fermi level is 1.232 states/eV/cell. Its formation energy without anion corrections is -28.0 kJ/mol of atoms.

a b c (Å): 4.7778 5.2118 5.2118
angles (deg): 90.00 90.00 90.00
Closest atoms and distances in Å follow each position.
Element x y z (fractional)
Fe 0.5000 0.0000 0.0000  2 Pt 2.39
Br 0.0000 0.0000 0.5000  2 Pt 2.61
Pt 0.0000 0.0000 0.0000  2 Fe 2.39, 4 Br 2.61
Br 0.0000 0.5000 0.0000  2 Pt 2.61
Sr 0.5000 0.5000 0.5000  8 Br 3.54, 4 Fe 3.69

***

7.
RbFeBr4 at its PBEsol-relaxed geometry. Source: the Alexandria database, functional SCAN.

The calculation puts the uncorrected energy at -20.602 eV per atom. The calculation puts the theoretical density at 3.632 g/cm3. Its formation energy without anion corrections is -111.0 kJ/mol of atoms.

a b c (Å): 7.3505 9.8276 11.6701
angles (deg): 90.00 90.00 90.00
Closest atoms and distances in Å follow each position.
Element x y z (fractional)
Fe 0.2500 0.3053 0.5581  4 Br 2.31-2.33
Fe 0.7500 0.8053 0.9419  4 Br 2.31-2.33
Br 0.4942 0.6669 0.9199  1 Fe 2.33
Rb 0.7500 0.1687 0.3156  6 Br 3.48-3.66
Br 0.5058 0.1668 0.5801  1 Fe 2.33
Br 0.9942 0.1668 0.5801  1 Fe 2.33
Rb 0.2500 0.8313 0.6844  6 Br 3.48-3.66
Rb 0.7500 0.3313 0.8156  6 Br 3.48-3.66
Br 0.2500 0.0324 0.2021  1 Fe 2.32
Br 0.0058 0.8332 0.4199  1 Fe 2.33
Fe 0.2500 0.1947 0.0581  4 Br 2.31-2.33
Br 0.2500 0.3968 0.3759  1 Fe 2.31
Br 0.7500 0.6032 0.6241  1 Fe 2.31
Br 0.7500 0.8968 0.1241  1 Fe 2.31
Br 0.7500 0.5324 0.2979  1 Fe 2.32
Rb 0.2500 0.6687 0.1844  6 Br 3.48-3.66
Fe 0.7500 0.6947 0.4419  4 Br 2.31-2.33
Br 0.7500 0.9676 0.7979  1 Fe 2.32
Br 0.4942 0.8332 0.4199  1 Fe 2.33
Br 0.5058 0.3332 0.0801  1 Fe 2.33
Br 0.2500 0.4676 0.7021  1 Fe 2.32
Br 0.2500 0.1032 0.8759  1 Fe 2.31
Br 0.9942 0.3332 0.0801  1 Fe 2.33
Br 0.0058 0.6669 0.9199  1 Fe 2.33

***

8.
RbFe2SbBr at its PBEsol-relaxed geometry. Source: the Alexandria database, functional SCAN.

The calculation puts the uncorrected energy at -20.953 eV per atom. The calculation puts the theoretical density at 4.958 g/cm3. The value obtained for the density of states at the Fermi level is 4.654 states/eV/cell. Its formation energy without anion corrections is 172.7 kJ/mol of atoms.

a b c (Å): 5.6157 4.8772 4.8772
angles (deg): 90.00 90.00 90.00
Closest atoms and distances in Å follow each position.
Element x y z (fractional)
Br 0.5000 0.0000 0.0000  2 Rb 2.81
Rb 0.0000 0.0000 0.0000  4 Fe 2.44
Sb 0.5000 0.5000 0.5000  4 Br 3.45, 8 Fe 3.72
Fe 0.0000 0.0000 0.5000  2 Rb 2.44
Fe 0.0000 0.5000 0.0000  2 Rb 2.44

***

9.
FeRe2Br at its PBEsol-relaxed geometry. Source: the Alexandria database, functional SCAN.

The calculation puts the uncorrected energy at -43.633 eV per atom. The calculation puts the theoretical density at 15.299 g/cm3. The value obtained for the density of states at the Fermi level is 4.211 states/eV/cell. Its formation energy without anion corrections is 126.6 kJ/mol of atoms. The calculation puts the energy above the most stable polymorph in this dataset at 3.342 eV per formula unit.

a b c (Å): 4.2722 4.2722 4.2729
angles (deg): 119.99 119.99 90.00
Closest atoms and distances in Å follow each position.
Element x y z (fractional)
Re 0.2500 0.7500 0.5000  4 Fe 2.62, 4 Br 2.62
Br 0.5000 0.5000 0.0000  8 Re 2.62
Fe 0.0000 0.0000 0.0000  8 Re 2.62
Re 0.7500 0.2500 0.5000  4 Fe 2.62, 4 Br 2.62

***

10.
FeRe2Br at its PBEsol-relaxed geometry. Source: the Alexandria database, functional SCAN.

The calculation puts the uncorrected energy at -44.469 eV per atom. The calculation puts the theoretical density at 12.765 g/cm3. The value obtained for the density of states at the Fermi level is 2.777 states/eV/cell. Its formation energy without anion corrections is 46.0 kJ/mol of atoms. The calculation puts the energy above the most stable polymorph in this dataset at 0.000 eV per formula unit.

a b c (Å): 2.9922 3.0284 7.2959
angles (deg): 90.98 90.00 90.00
Closest atoms and distances in Å follow each position.
Element x y z (fractional)
Re 0.0000 0.9901 0.0050  4 Re 2.57, 4 Fe 2.65-2.66
Fe 0.5000 0.4766 0.7877  2 Br 2.55, 4 Re 2.65-2.66
Re 0.5000 0.4978 0.2018  4 Re 2.57, 2 Br 2.67
Br 0.0000 0.5355 0.5055  2 Fe 2.55, 2 Re 2.67

***

11.
FeRe2Br at its PBEsol-relaxed geometry. Source: the Alexandria database, functional SCAN.

The calculation puts the uncorrected energy at -44.196 eV per atom. The calculation puts the theoretical density at 13.511 g/cm3. The value obtained for the density of states at the Fermi level is 3.088 states/eV/cell. Its formation energy without anion corrections is 72.4 kJ/mol of atoms. The calculation puts the energy above the most stable polymorph in this dataset at 1.092 eV per formula unit.

a b c (Å): 2.7712 2.7712 9.0649
angles (deg): 90.00 90.00 116.21
Closest atoms and distances in Å follow each position.
Element x y z (fractional)
Br 0.0000 0.0000 0.4709  2 Fe 2.55, 4 Br 2.77
Re 0.5000 0.5000 0.7779  6 Re 2.57-2.77
Re 0.0000 0.0000 0.0113  2 Fe 2.54, 6 Re 2.57-2.77
Fe 0.5000 0.5000 0.2399  2 Re 2.54, 2 Br 2.55, 4 Fe 2.77

***

12.
FeReSeBr2 at its PBEsol-relaxed geometry. Source: the Alexandria database, functional SCAN.

The calculation puts the uncorrected energy at -28.776 eV per atom. The calculation puts the theoretical density at 6.505 g/cm3. The value obtained for the density of states at the Fermi level is 5.030 states/eV/cell. Its formation energy without anion corrections is 83.8 kJ/mol of atoms.

a b c (Å): 4.6687 5.1273 5.1273
angles (deg): 90.00 90.00 90.00
Closest atoms and distances in Å follow each position.
Element x y z (fractional)
Se 0.5000 0.0000 0.0000  2 Re 2.33
Fe 0.5000 0.5000 0.5000  8 Br 3.47, 4 Se 3.63
Re 0.0000 0.0000 0.0000  2 Se 2.33, 4 Br 2.56
Br 0.0000 0.5000 0.0000  2 Re 2.56
Br 0.0000 0.0000 0.5000  2 Re 2.56

***

Number 1: magnetization 4.0 μB/f.u.. Number 2: magnetization 4.0 μB/f.u.. Number 3: magnetization 3.0 μB/f.u.. Number 4: magnetization 3.8 μB/f.u.. Number 5: magnetization 3.8 μB/f.u.. Number 6: magnetization 3.1 μB/f.u.. Number 7: magnetization 5.0 μB/f.u.. Number 8: magnetization 6.1 μB/f.u.. Number 9: magnetization 1.9 μB/f.u.. Number 10: magnetization 3.5 μB/f.u.. Number 11: magnetization 3.2 μB/f.u.. Number 12: magnetization 5.2 μB/f.u..